An optimized crystal structure of YTcPt2, computed with GGA-PBE.

Values from the calculation:
Energy relative to the lowest polymorph listed for this composition   564 meV per atom
DOS at the Fermi energy   6.3 states/eV/f.u.
Raw total energy   -85.32 eV for the cell shown

abc: 2.9169 2.9169 28.7044
angles: 90.00 90.00 120.00
Space group R3m (No. 160, hexagonal axes)
Inequivalent atoms, fractional coordinates:
Y: 0.0000 0.0000 0.0000 [3 per cell]
Tc: 0.0000 0.0000 0.2414 [3 per cell]
Pt: 0.0000 0.0000 0.5013 [3 per cell]
Pt: 0.0000 0.0000 0.7527 [3 per cell]